1.
SrZn2CdN GGA-PBE relaxed; energy relative to the elements, uncorrected = 69 kJ/mol of formula units; symmetry = P4/mmm; N(E_F) = 3.65 states/eV/cell; raw total energy = -2.550 eV per atom
1.0
4.493 0.000 0.000
0.000 4.493 0.000
0.000 0.000 5.042
Sr Zn Cd N
1 2 1 1
direct
0.000 0.000 0.000
0.000 0.500 0.500
0.500 0.000 0.500
0.500 0.500 0.000
0.000 0.000 0.500

***

2.
Sr2ZnCdN GGA-PBE relaxed; energy relative to the elements, uncorrected = -127 kJ/mol of formula units; symmetry = P4/mmm; N(E_F) = 4.81 states/eV/cell; raw total energy = -3.038 eV per atom
1.0
5.490 0.000 0.000
0.000 5.490 0.000
0.000 0.000 4.044
Sr Zn Cd N
2 1 1 1
direct
0.000 0.500 0.000
0.500 0.000 0.000
0.000 0.000 0.500
0.500 0.500 0.500
0.000 0.000 0.000